P.
A plane-wave DFT calculation with GGA-PBE was carried out for an optimized crystal structure of KCo.

Geometry as CIF:
```
data_KCo
_chemical_formula_sum 'K4 Co4'
_space_group_name_H-M_alt 'F m -3 m'
_space_group_IT_number 225
_space_group_name_Hall '-F 4 2 3'
_cell_length_a 6.779
_cell_length_b 6.779
_cell_length_c 6.779
_cell_angle_alpha 90.00
_cell_angle_beta 90.00
_cell_angle_gamma 90.00
loop_
_atom_site_label
_atom_site_fract_x
_atom_site_fract_y
_atom_site_fract_z
K1 0.000 0.000 0.000
Co1 0.000 0.000 0.500
```

Q.
A plane-wave DFT calculation with GGA-PBE was carried out for an optimized crystal structure of KCo.

Geometry as CIF:
```
data_KCo
_chemical_formula_sum 'K4 Co4'
_space_group_name_H-M_alt 'F -4 3 m'
_space_group_IT_number 216
_space_group_name_Hall 'F -4 2 3'
_cell_length_a 7.568
_cell_length_b 7.568
_cell_length_c 7.568
_cell_angle_alpha 90.00
_cell_angle_beta 90.00
_cell_angle_gamma 90.00
loop_
_atom_site_label
_atom_site_fract_x
_atom_site_fract_y
_atom_site_fract_z
K1 0.000 0.000 0.000
Co1 0.250 0.250 0.250
```

Pick P: it beats the second-best structure by 18.9 kJ/mol of atoms.

P.
A plane-wave DFT calculation with GGA-PBE was carried out for an optimized crystal structure of KLaCoS3.

Geometry as CIF:
```
data_KLaCoS3
_chemical_formula_sum 'K4 La4 Co4 S12'
_space_group_name_H-M_alt 'C m c m'
_space_group_IT_number 63
_space_group_name_Hall '-C 2c 2'
_cell_length_a 4.084
_cell_length_b 13.865
_cell_length_c 11.083
_cell_angle_alpha 90.00
_cell_angle_beta 90.00
_cell_angle_gamma 90.00
loop_
_atom_site_label
_atom_site_fract_x
_atom_site_fract_y
_atom_site_fract_z
K1 0.000 0.242 0.250
La1 0.000 0.500 0.000
Co1 0.000 0.034 0.750
S1 0.000 0.127 0.584
S2 0.000 0.443 0.750
```

Q.
A plane-wave DFT calculation with GGA-PBE was carried out for an optimized crystal structure of KLaCoS3.

Geometry as CIF:
```
data_KLaCoS3
_chemical_formula_sum 'K4 La4 Co4 S12'
_space_group_name_H-M_alt 'P n m a'
_space_group_IT_number 62
_space_group_name_Hall '-P 2ac 2n'
_cell_length_a 11.268
_cell_length_b 4.149
_cell_length_c 12.087
_cell_angle_alpha 90.00
_cell_angle_beta 90.00
_cell_angle_gamma 90.00
loop_
_atom_site_label
_atom_site_fract_x
_atom_site_fract_y
_atom_site_fract_z
K1 0.166 0.250 0.011
La1 0.019 0.250 0.671
Co1 0.245 0.250 0.294
S1 0.060 0.750 0.832
S2 0.117 0.250 0.441
S3 0.216 0.750 0.210
```

Pick Q: it beats the second-best structure by 2.2 kJ/mol of atoms.